# 1
A relaxed structure of NdSm6Y12. Source: Alexandria, functional PBE-GGA.

Computed properties:
Space group: R-3m
Total magnetization in μB/cell: 0.0
Raw total energy in eV/cell: -108.61

Lattice parameters (Å, degrees): 8.700 8.700 8.700 79.85 79.85 79.85
Atoms (fractional coordinates):
1 Y 0.803 0.483 0.483
2 Y 0.483 0.803 0.483
3 Sm 0.836 0.228 0.228
4 Sm 0.772 0.164 0.772
5 Y 0.137 0.482 0.137
6 Y 0.863 0.863 0.518
7 Y 0.483 0.483 0.803
8 Y 0.517 0.197 0.517
9 Sm 0.228 0.228 0.836
10 Sm 0.164 0.772 0.772
11 Y 0.863 0.518 0.863
12 Sm 0.772 0.772 0.164
13 Y 0.518 0.863 0.863
14 Sm 0.228 0.836 0.228
15 Y 0.197 0.517 0.517
16 Y 0.137 0.137 0.482
17 Y 0.482 0.137 0.137
18 Y 0.517 0.517 0.197
19 Nd 0.000 0.000 0.000

***

# 2
A relaxed structure of NdSm2Y3. Source: Alexandria, functional PBE-GGA.

Computed properties:
Space group: Cmc2_1
Total magnetization in μB/cell: 0.0
Raw total energy in eV/cell: -64.65

Lattice parameters (Å, degrees): 6.422 8.194 8.194 71.43 90.00 90.00
Atoms (fractional coordinates):
1 Sm 0.565 0.377 0.740
2 Y 0.111 0.877 0.512
3 Y 0.316 0.919 0.919
4 Nd 0.789 0.823 0.823
5 Sm 0.565 0.740 0.377
6 Nd 0.289 0.177 0.177
7 Y 0.816 0.081 0.081
8 Sm 0.065 0.260 0.623
9 Sm 0.065 0.623 0.260
10 Y 0.611 0.123 0.488
11 Y 0.111 0.512 0.877
12 Y 0.611 0.488 0.123

***

# 3
A relaxed structure of NdSmY6. Source: Alexandria, functional PBE-GGA.

Computed properties:
Space group: R-3
Total magnetization in μB/cell: 0.0
Raw total energy in eV/cell: -47.09

Lattice parameters (Å, degrees): 9.693 9.693 6.509 41.88 41.88 60.00
Atoms (fractional coordinates):
1 Y 0.043 0.457 0.749
2 Y 0.543 0.249 0.251
3 Sm 0.000 0.000 0.000
4 Y 0.957 0.543 0.251
5 Y 0.249 0.957 0.251
6 Y 0.457 0.751 0.749
7 Y 0.751 0.043 0.749
8 Nd 0.500 0.500 0.500

***

# 4
A relaxed structure of Nd19Sm4Y6. Source: Alexandria, functional PBE-GGA.

Computed properties:
Space group: I23
Total magnetization in μB/cell: 0.0
Raw total energy in eV/cell: -137.77

Lattice parameters (Å, degrees): 11.036 11.036 11.036 109.47 109.47 109.47
Atoms (fractional coordinates):
1 Nd 0.681 0.656 0.459
2 Nd 0.222 0.541 0.197
3 Nd 0.025 0.803 0.344
4 Nd 0.256 0.256 0.000
5 Nd 0.459 0.681 0.656
6 Nd 0.803 0.344 0.025
7 Sm 0.000 0.000 0.635
8 Nd 0.975 0.319 0.778
9 Nd 0.344 0.025 0.803
10 Y 0.875 0.375 0.500
11 Nd 0.541 0.197 0.222
12 Nd 0.000 0.744 0.744
13 Y 0.625 0.500 0.125
14 Sm 0.000 0.635 0.000
15 Nd 0.256 0.000 0.256
16 Y 0.500 0.875 0.375
17 Nd 0.744 0.000 0.744
18 Nd 0.744 0.744 0.000
19 Nd 0.319 0.778 0.975
20 Nd 0.197 0.222 0.541
21 Sm 0.365 0.365 0.365
22 Nd 0.656 0.459 0.681
23 Sm 0.635 0.000 0.000
24 Nd 0.778 0.975 0.319
25 Y 0.500 0.125 0.625
26 Nd 0.000 0.256 0.256
27 Y 0.375 0.500 0.875
28 Y 0.125 0.625 0.500
29 Nd 0.000 0.000 0.000

***

# 5
A relaxed structure of Nd15Sm4Y. Source: Alexandria, functional PBE-GGA.

Computed properties:
Space group: P4/mmm
Total magnetization in μB/cell: 0.0
Raw total energy in eV/cell: -96.60

Lattice parameters (Å, degrees): 5.193 5.193 25.878 90.00 90.00 90.00
Atoms (fractional coordinates):
1 Nd 0.500 0.500 0.800
2 Sm 0.000 0.000 0.400
3 Nd 0.000 0.500 0.500
4 Nd 0.500 0.500 0.200
5 Nd 0.000 0.500 0.100
6 Nd 0.000 0.500 0.300
7 Nd 0.500 0.000 0.300
8 Nd 0.500 0.500 0.400
9 Nd 0.500 0.500 0.000
10 Sm 0.000 0.000 0.600
11 Sm 0.000 0.000 0.800
12 Nd 0.500 0.500 0.600
13 Nd 0.000 0.500 0.700
14 Sm 0.000 0.000 0.200
15 Y 0.000 0.000 0.000
16 Nd 0.500 0.000 0.100
17 Nd 0.500 0.000 0.700
18 Nd 0.500 0.000 0.900
19 Nd 0.000 0.500 0.900
20 Nd 0.500 0.000 0.500

***

# 6
A relaxed structure of Nd8Sm2Y3. Source: Alexandria, functional PBE-GGA.

Computed properties:
Space group: P2_1/c
Total magnetization in μB/cell: 0.0
Raw total energy in eV/cell: -131.32

Lattice parameters (Å, degrees): 13.301 8.341 22.152 90.00 90.00 158.56
Atoms (fractional coordinates):
1 Nd 0.416 0.312 0.915
2 Nd 0.964 0.150 0.311
3 Y 0.500 0.000 0.500
4 Nd 0.084 0.688 0.415
5 Nd 0.134 0.305 0.156
6 Nd 0.916 0.312 0.585
7 Y 0.233 0.107 0.266
8 Sm 0.712 0.176 0.963
9 Y 0.767 0.893 0.734
10 Y 0.267 0.893 0.766
11 Sm 0.788 0.824 0.463
12 Y 0.733 0.107 0.234
13 Nd 0.587 0.428 0.611
14 Sm 0.212 0.176 0.537
15 Nd 0.464 0.150 0.189
16 Nd 0.366 0.695 0.656
17 Nd 0.036 0.850 0.689
18 Nd 0.866 0.695 0.844
19 Sm 0.288 0.824 0.037
20 Nd 0.634 0.305 0.344
21 Nd 0.087 0.428 0.889
22 Y 0.000 0.000 0.000
23 Nd 0.913 0.572 0.111
24 Nd 0.413 0.572 0.389
25 Nd 0.536 0.850 0.811
26 Nd 0.584 0.688 0.085

***

# 7
A relaxed structure of Nd2SmY. Source: Alexandria, functional PBE-GGA.

Computed properties:
Space group: Cmcm
Total magnetization in μB/cell: 0.0
Raw total energy in eV/cell: -41.26

Lattice parameters (Å, degrees): 5.855 7.375 7.375 119.83 90.00 90.00
Atoms (fractional coordinates):
1 Nd 0.750 0.585 0.918
2 Nd 0.750 0.082 0.415
3 Y 0.250 0.416 0.584
4 Nd 0.250 0.415 0.082
5 Sm 0.250 0.917 0.083
6 Nd 0.250 0.918 0.585
7 Y 0.750 0.584 0.416
8 Sm 0.750 0.083 0.917

***

# 8
A relaxed structure of Nd2Sm5Y12. Source: Alexandria, functional PBE-GGA.

Computed properties:
Space group: P-1
Total magnetization in μB/cell: 0.0
Raw total energy in eV/cell: -110.38

Lattice parameters (Å, degrees): 6.234 9.514 14.818 129.88 85.96 109.20
Atoms (fractional coordinates):
1 Sm 0.368 0.316 0.238
2 Y 0.106 0.948 0.710
3 Y 0.264 0.371 0.027
4 Y 0.947 0.526 0.395
5 Sm 0.578 0.209 0.657
6 Sm 0.632 0.684 0.762
7 Nd 0.789 0.105 0.079
8 Y 0.474 0.263 0.448
9 Y 0.315 0.841 0.132
10 Y 0.736 0.629 0.973
11 Y 0.685 0.159 0.868
12 Sm 0.422 0.791 0.343
13 Y 0.894 0.052 0.290
14 Y 0.842 0.580 0.184
15 Y 0.526 0.737 0.552
16 Y 0.158 0.420 0.816
17 Y 0.053 0.474 0.605
18 Sm 0.000 0.000 0.500
19 Nd 0.211 0.895 0.921

***

# 9
A relaxed structure of NdSm12Y2. Source: Alexandria, functional PBE-GGA.

Computed properties:
Space group: Cmme
Total magnetization in μB/cell: 0.0
Raw total energy in eV/cell: -144.03

Lattice parameters (Å, degrees): 6.789 6.789 24.903 90.00 90.00 116.26
Atoms (fractional coordinates):
1 Sm 0.748 0.752 0.077
2 Y 0.500 0.000 0.728
3 Sm 0.500 0.500 0.200
4 Sm 0.252 0.752 0.869
5 Sm 0.500 0.500 0.326
6 Sm 0.268 0.768 0.415
7 Nd 0.500 0.000 0.999
8 Sm 0.232 0.732 0.585
9 Sm 0.000 0.000 0.800
10 Sm 0.228 0.272 0.440
11 Nd 0.000 0.500 0.001
12 Sm 0.252 0.248 0.077
13 Sm 0.728 0.772 0.560
14 Sm 0.752 0.748 0.923
15 Sm 0.248 0.748 0.131
16 Sm 0.768 0.268 0.585
17 Y 0.000 0.500 0.272
18 Sm 0.000 0.000 0.326
19 Sm 0.500 0.500 0.800
20 Sm 0.500 0.500 0.674
21 Sm 0.272 0.228 0.560
22 Y 0.000 0.500 0.733
23 Sm 0.248 0.252 0.923
24 Sm 0.000 0.000 0.674
25 Y 0.500 0.000 0.267
26 Sm 0.748 0.248 0.869
27 Sm 0.752 0.252 0.131
28 Sm 0.732 0.232 0.415
29 Sm 0.000 0.000 0.200
30 Sm 0.772 0.728 0.440

***

# 10
A relaxed structure of Nd2SmY. Source: Alexandria, functional PBE-GGA.

Computed properties:
Space group: Amm2
Total magnetization in μB/cell: 0.0
Raw total energy in eV/cell: -20.53

Lattice parameters (Å, degrees): 3.593 5.683 6.946 90.00 104.99 90.00
Atoms (fractional coordinates):
1 Nd 0.187 0.000 0.374
2 Sm 0.805 0.500 0.610
3 Nd 0.062 0.500 0.124
4 Y 0.446 0.000 0.892

***

# 11
A relaxed structure of Nd3SmY5. Source: Alexandria, functional PBE-GGA.

Computed properties:
Space group: I4/mcm
Total magnetization in μB/cell: 0.0
Raw total energy in eV/cell: -98.39

Lattice parameters (Å, degrees): 8.773 8.773 9.993 116.04 116.04 90.00
Atoms (fractional coordinates):
1 Nd 0.383 0.883 0.000
2 Nd 0.117 0.383 0.000
3 Y 0.655 0.155 0.726
4 Y 0.345 0.845 0.274
5 Y 0.929 0.429 0.274
6 Y 0.071 0.571 0.726
7 Y 0.155 0.071 0.726
8 Nd 0.883 0.617 0.000
9 Y 0.429 0.345 0.274
10 Y 0.000 0.000 0.000
11 Y 0.500 0.500 0.000
12 Y 0.845 0.929 0.274
13 Sm 0.250 0.750 0.500
14 Nd 0.250 0.250 0.500
15 Sm 0.750 0.250 0.500
16 Y 0.571 0.655 0.726
17 Nd 0.750 0.750 0.500
18 Nd 0.617 0.117 0.000

***

# 12
A relaxed structure of Nd5Sm8Y. Source: Alexandria, functional PBE-GGA.

Computed properties:
Space group: I-4
Total magnetization in μB/cell: 0.0
Raw total energy in eV/cell: -64.75

Lattice parameters (Å, degrees): 8.609 8.609 8.609 110.87 106.71 110.87
Atoms (fractional coordinates):
1 Sm 0.925 0.095 0.661
2 Nd 0.816 0.681 0.713
3 Nd 0.032 0.319 0.135
4 Nd 0.865 0.897 0.184
5 Nd 0.287 0.103 0.968
6 Sm 0.526 0.604 0.271
7 Sm 0.729 0.255 0.333
8 Nd 0.500 0.000 0.500
9 Sm 0.078 0.745 0.474
10 Sm 0.566 0.905 0.830
11 Sm 0.667 0.396 0.922
12 Sm 0.339 0.264 0.434
13 Sm 0.170 0.736 0.075
14 Y 0.250 0.500 0.750

***

# 13
A relaxed structure of Nd12Sm2Y5. Source: Alexandria, functional PBE-GGA.

Computed properties:
Space group: C2/m
Total magnetization in μB/cell: 0.0
Raw total energy in eV/cell: -97.22

Lattice parameters (Å, degrees): 11.823 10.789 6.278 100.30 90.00 123.23
Atoms (fractional coordinates):
1 Nd 0.455 0.394 0.199
2 Nd 0.353 0.208 0.616
3 Nd 0.445 0.890 0.726
4 Y 0.676 0.353 0.860
5 Nd 0.545 0.606 0.801
6 Sm 0.771 0.000 0.000
7 Nd 0.145 0.792 0.384
8 Nd 0.555 0.110 0.274
9 Nd 0.940 0.394 0.199
10 Nd 0.878 0.757 0.001
11 Sm 0.229 0.000 0.000
12 Y 0.000 0.000 0.500
13 Y 0.784 0.569 0.449
14 Nd 0.122 0.243 0.999
15 Y 0.216 0.431 0.551
16 Y 0.324 0.647 0.140
17 Nd 0.855 0.208 0.616
18 Nd 0.647 0.792 0.384
19 Nd 0.060 0.606 0.801

***

# 14
A relaxed structure of Nd4Sm2Y3. Source: Alexandria, functional PBE-GGA.

Computed properties:
Space group: C2/m
Total magnetization in μB/cell: 0.0
Raw total energy in eV/cell: -47.53

Lattice parameters (Å, degrees): 3.600 9.878 8.925 79.87 101.64 90.00
Atoms (fractional coordinates):
1 Y 0.162 0.457 0.324
2 Sm 0.676 0.121 0.352
3 Y 0.838 0.543 0.676
4 Sm 0.324 0.879 0.648
5 Y 0.000 0.000 0.000
6 Nd 0.501 0.331 0.001
7 Nd 0.337 0.219 0.674
8 Nd 0.499 0.669 0.999
9 Nd 0.663 0.781 0.326

***

# 15
A relaxed structure of Nd2Sm5Y4. Source: Alexandria, functional PBE-GGA.

Computed properties:
Space group: C2/m
Total magnetization in μB/cell: 0.0
Raw total energy in eV/cell: -57.59

Lattice parameters (Å, degrees): 6.715 6.715 9.425 75.26 75.26 66.45
Atoms (fractional coordinates):
1 Sm 0.000 0.000 0.500
2 Y 0.332 0.332 0.120
3 Y 0.308 0.308 0.499
4 Y 0.692 0.692 0.501
5 Nd 0.145 0.145 0.877
6 Sm 0.215 0.653 0.768
7 Sm 0.785 0.347 0.232
8 Nd 0.855 0.855 0.123
9 Sm 0.653 0.215 0.768
10 Sm 0.347 0.785 0.232
11 Y 0.668 0.668 0.880

***

# 16
A relaxed structure of Nd6SmY2. Source: Alexandria, functional PBE-GGA.

Computed properties:
Space group: C2/c
Total magnetization in μB/cell: 0.0
Raw total energy in eV/cell: -90.18

Lattice parameters (Å, degrees): 9.449 14.647 14.647 32.80 38.04 38.04
Atoms (fractional coordinates):
1 Nd 0.755 0.227 0.890
2 Nd 0.667 0.104 0.255
3 Nd 0.668 0.443 0.352
4 Y 0.755 0.037 0.514
5 Sm 0.250 0.225 0.775
6 Nd 0.168 0.352 0.443
7 Y 0.745 0.486 0.963
8 Nd 0.167 0.255 0.104
9 Nd 0.332 0.557 0.648
10 Y 0.255 0.514 0.037
11 Nd 0.333 0.896 0.745
12 Y 0.245 0.963 0.486
13 Nd 0.745 0.110 0.773
14 Nd 0.832 0.648 0.557
15 Nd 0.255 0.890 0.227
16 Sm 0.750 0.775 0.225
17 Nd 0.833 0.745 0.896
18 Nd 0.245 0.773 0.110

***

# 17
A relaxed structure of Nd3Sm4Y4. Source: Alexandria, functional PBE-GGA.

Computed properties:
Space group: Immm
Total magnetization in μB/cell: 0.0
Raw total energy in eV/cell: -57.10

Lattice parameters (Å, degrees): 3.575 11.442 11.125 120.95 99.25 90.00
Atoms (fractional coordinates):
1 Nd 0.000 0.500 0.000
2 Sm 0.670 0.428 0.341
3 Nd 0.895 0.895 0.790
4 Sm 0.330 0.087 0.659
5 Y 0.777 0.277 0.554
6 Nd 0.105 0.105 0.210
7 Sm 0.670 0.913 0.341
8 Y 0.223 0.723 0.446
9 Sm 0.330 0.572 0.659
10 Y 0.500 0.786 0.000
11 Y 0.500 0.214 0.000

***

# 18
A relaxed structure of Nd4SmY. Source: Alexandria, functional PBE-GGA.

Computed properties:
Space group: Cmmm
Total magnetization in μB/cell: 0.0
Raw total energy in eV/cell: -26.57

Lattice parameters (Å, degrees): 3.509 8.338 8.338 90.29 90.00 90.00
Atoms (fractional coordinates):
1 Nd 0.000 0.239 0.239
2 Y 0.000 0.500 0.500
3 Nd 0.500 0.262 0.739
4 Sm 0.500 0.000 0.000
5 Nd 0.500 0.738 0.261
6 Nd 0.000 0.761 0.761